[1]
## Ga3FeSi (GGA-PBEsol)

Data for a relaxed structure of Ga3FeSi.

Properties
Uncorrected formation energy (eV/atom): 0.382
SG: No. 221

a = 4.4930 Å, b = 4.4930 Å, c = 4.4930 Å
α = 90.00°, β = 90.00°, γ = 90.00°
With the nearest neighbours (Å) after each atom.
Element x y z (fractional)
Si1 0.5000 0.5000 0.5000  12 Ga 3.18
Ga1 0.0000 0.5000 0.0000  2 Fe 2.25
Fe1 0.0000 0.0000 0.0000  6 Ga 2.25
Ga2 0.5000 0.0000 0.0000  2 Fe 2.25
Ga3 0.0000 0.0000 0.5000  2 Fe 2.25



[2]
## SrGa3Fe (GGA-PBEsol)

Data for a relaxed structure of SrGa3Fe.

Properties
SG: No. 221
Calculated formation energy (eV/atom): -0.369

a = 4.5805 Å, b = 4.5805 Å, c = 4.5805 Å
α = 90.00°, β = 90.00°, γ = 90.00°
With the nearest neighbours (Å) after each atom.
Element x y z (fractional)
Ga1 0.0000 0.0000 0.5000  2 Fe 2.29
Ga2 0.5000 0.0000 0.0000  2 Fe 2.29
Sr1 0.5000 0.5000 0.5000  12 Ga 3.24
Ga3 0.0000 0.5000 0.0000  2 Fe 2.29
Fe1 0.0000 0.0000 0.0000  6 Ga 2.29



[3]
## SrGa3Fe (GGA-PBEsol)

Data for a relaxed structure of SrGa3Fe.

Properties
SG: No. 221
Calculated formation energy (eV/atom): 1.672

a = 5.5027 Å, b = 5.5027 Å, c = 5.5027 Å
α = 90.00°, β = 90.00°, γ = 90.00°
With the nearest neighbours (Å) after each atom.
Element x y z (fractional)
Ga1 0.5000 0.0000 0.0000  2 Sr 2.75
Fe1 0.5000 0.5000 0.5000  12 Ga 3.89
Ga2 0.0000 0.5000 0.0000  2 Sr 2.75
Sr1 0.0000 0.0000 0.0000  6 Ga 2.75
Ga3 0.0000 0.0000 0.5000  2 Sr 2.75



[4]
## SrGaFe3 (GGA-PBEsol)

Data for a relaxed structure of SrGaFe3.

Properties
SG: No. 221
Calculated formation energy (eV/atom): 0.825

a = 4.5746 Å, b = 4.5746 Å, c = 4.5746 Å
α = 90.00°, β = 90.00°, γ = 90.00°
With the nearest neighbours (Å) after each atom.
Element x y z (fractional)
Fe1 0.5000 0.0000 0.0000  2 Ga 2.29
Sr1 0.5000 0.5000 0.5000  12 Fe 3.23
Ga1 0.0000 0.0000 0.0000  6 Fe 2.29
Fe2 0.0000 0.5000 0.0000  2 Ga 2.29
Fe3 0.0000 0.0000 0.5000  2 Ga 2.29



[5]
## SrZnGaFe2 (GGA-PBEsol)

Data for a relaxed structure of SrZnGaFe2.

Properties
SG: No. 123
Calculated formation energy (eV/atom): 0.573

a = 4.6227 Å, b = 4.6457 Å, c = 4.6457 Å
α = 90.00°, β = 90.00°, γ = 90.00°
With the nearest neighbours (Å) after each atom.
Element x y z (fractional)
Sr1 0.5000 0.5000 0.5000  8 Fe 3.28, 4 Zn 3.29
Ga1 0.0000 0.0000 0.0000  2 Zn 2.31, 4 Fe 2.32
Fe1 0.0000 0.5000 0.0000  2 Ga 2.32
Fe2 0.0000 0.0000 0.5000  2 Ga 2.32
Zn1 0.5000 0.0000 0.0000  2 Ga 2.31



[6]
## Ta3GaFe (GGA-PBEsol)

Data for a relaxed structure of Ta3GaFe.

Properties
SG: No. 221
Calculated formation energy (eV/atom): 0.642

a = 4.5147 Å, b = 4.5147 Å, c = 4.5147 Å
α = 90.00°, β = 90.00°, γ = 90.00°
With the nearest neighbours (Å) after each atom.
Element x y z (fractional)
Ta1 0.0000 0.5000 0.0000  2 Fe 2.26
Fe1 0.0000 0.0000 0.0000  6 Ta 2.26
Ta2 0.5000 0.0000 0.0000  2 Fe 2.26
Ga1 0.5000 0.5000 0.5000  12 Ta 3.19
Ta3 0.0000 0.0000 0.5000  2 Fe 2.26



[7]
## TbGaFe (GGA-PBEsol)

Data for a relaxed structure of TbGaFe.

Properties
SG: No. 194
Calculated formation energy (eV/atom): -0.225

a = 4.3325 Å, b = 4.3325 Å, c = 6.6022 Å
α = 90.00°, β = 90.00°, γ = 120.00°
With the nearest neighbours (Å) after each atom.
Element x y z (fractional)
Fe1 0.6667 0.3333 0.2500  3 Ga 2.50
Tb1 0.0000 0.0000 0.0000  6 Fe 3.00, 6 Ga 3.00, 2 Tb 3.30
Ga1 0.3333 0.6667 0.2500  3 Fe 2.50
Fe2 0.3333 0.6667 0.7500  3 Ga 2.50
Tb2 0.0000 0.0000 0.5000  6 Fe 3.00, 6 Ga 3.00, 2 Tb 3.30
Ga2 0.6667 0.3333 0.7500  3 Fe 2.50



[8]
## TbGa6Fe6 (GGA-PBEsol)

Data for a relaxed structure of TbGa6Fe6.

Properties
SG: No. 71
Calculated formation energy (eV/atom): -0.345

a = 4.9473 Å, b = 6.4533 Å, c = 6.4533 Å
α = 80.52°, β = 67.46°, γ = 67.46°
With the nearest neighbours (Å) after each atom.
Element x y z (fractional)
Ga1 0.3445 0.6555 0.6555  6 Fe 2.52-2.55, 1 Ga 2.65
Tb1 0.0000 0.0000 0.0000  8 Ga 2.79-2.93
Fe1 0.5000 0.2429 0.7571  4 Fe 2.46, 6 Ga 2.52-2.59
Fe2 0.5000 0.7571 0.2429  4 Fe 2.46, 6 Ga 2.52-2.59
Ga2 0.6555 0.3445 0.3445  6 Fe 2.52-2.55, 1 Ga 2.65
Ga3 0.6845 0.8155 0.8155  6 Fe 2.49-2.56
Ga4 0.0000 0.6656 0.3344  6 Fe 2.56-2.59, 1 Ga 2.76, 1 Tb 2.79
Ga5 0.3155 0.1845 0.1845  6 Fe 2.49-2.56
Fe3 0.0000 0.5000 0.0000  4 Fe 2.46-2.47, 6 Ga 2.49-2.56
Ga6 0.0000 0.3344 0.6656  6 Fe 2.56-2.59, 1 Ga 2.76, 1 Tb 2.79
Fe4 0.0000 0.0000 0.5000  4 Fe 2.46-2.47, 6 Ga 2.49-2.56
Fe5 0.5000 0.0000 0.5000  4 Fe 2.46-2.47, 6 Ga 2.49-2.56
Fe6 0.5000 0.5000 0.0000  4 Fe 2.46-2.47, 6 Ga 2.49-2.56



- Which formula does entry 2 have?
  SrGa3Fe



Please write out number 4 again, unchanged.
## SrGaFe3 (GGA-PBEsol)

Data for a relaxed structure of SrGaFe3.

Properties
SG: No. 221
Calculated formation energy (eV/atom): 0.825

a = 4.5746 Å, b = 4.5746 Å, c = 4.5746 Å
α = 90.00°, β = 90.00°, γ = 90.00°
With the nearest neighbours (Å) after each atom.
Element x y z (fractional)
Fe1 0.5000 0.0000 0.0000  2 Ga 2.29
Sr1 0.5000 0.5000 0.5000  12 Fe 3.23
Ga1 0.0000 0.0000 0.0000  6 Fe 2.29
Fe2 0.0000 0.5000 0.0000  2 Ga 2.29
Fe3 0.0000 0.0000 0.5000  2 Ga 2.29